(1)
# GGA-PBE RuRh2Cl, relaxed
# spin magnetization: 0.004 μB per formula unit
# formation energy from raw total energies: 441 meV/atom
# space group: P4mm (99)
# energy above the most stable polymorph in this dataset: 0.145 eV per atom
data_RuRh2Cl
_chemical_formula_sum 'Ru1 Rh2 Cl1'
_cell_length_a 2.8396
_cell_length_b 2.8396
_cell_length_c 7.3890
_cell_angle_alpha 90.00
_cell_angle_beta 90.00
_cell_angle_gamma 90.00
_symmetry_space_group_name_H-M 'P 1'
_symmetry_Int_Tables_number 1
loop_
_symmetry_equiv_pos_as_xyz
'x,y,z'
loop_
_atom_site_label
_atom_site_type_symbol
_atom_site_fract_x
_atom_site_fract_y
_atom_site_fract_z
Ru1 Ru 0.0000 0.0000 0.0000
Rh1 Rh 0.0000 0.0000 0.5173
Rh2 Rh 0.5000 0.5000 0.7678
Cl1 Cl 0.5000 0.5000 0.2407

***

(2)
# GGA-PBE HfTl3Co, relaxed
# spin magnetization: 1.971 μB per formula unit
# space group: Pm-3m (221)
# E_form: 6.34 eV/f.u.
# energy above the most stable polymorph in this dataset: 0.563 eV per atom
data_HfTl3Co
_chemical_formula_sum 'Hf1 Tl3 Co1'
_cell_length_a 5.5958
_cell_length_b 5.5958
_cell_length_c 5.5958
_cell_angle_alpha 90.00
_cell_angle_beta 90.00
_cell_angle_gamma 90.00
_symmetry_space_group_name_H-M 'P 1'
_symmetry_Int_Tables_number 1
loop_
_symmetry_equiv_pos_as_xyz
'x,y,z'
loop_
_atom_site_label
_atom_site_type_symbol
_atom_site_fract_x
_atom_site_fract_y
_atom_site_fract_z
Hf1 Hf 0.0000 0.0000 0.0000
Tl1 Tl 0.0000 0.0000 0.5000
Tl2 Tl 0.0000 0.5000 0.0000
Tl3 Tl 0.5000 0.0000 0.0000
Co1 Co 0.5000 0.5000 0.5000

***

(3)
# GGA-PBE PuUTcRu, relaxed
# spin magnetization: 4.247 μB per formula unit
# space group: F-43m (216)
# E_form: -0.30 eV/f.u.
data_PuUTcRu
_chemical_formula_sum 'Pu1 U1 Tc1 Ru1'
_cell_length_a 4.6106
_cell_length_b 4.6106
_cell_length_c 4.6106
_cell_angle_alpha 60.00
_cell_angle_beta 60.00
_cell_angle_gamma 60.00
_symmetry_space_group_name_H-M 'P 1'
_symmetry_Int_Tables_number 1
loop_
_symmetry_equiv_pos_as_xyz
'x,y,z'
loop_
_atom_site_label
_atom_site_type_symbol
_atom_site_fract_x
_atom_site_fract_y
_atom_site_fract_z
Pu1 Pu 0.0000 0.0000 0.0000
U1 U 0.7500 0.7500 0.7500
Tc1 Tc 0.5000 0.5000 0.5000
Ru1 Ru 0.2500 0.2500 0.2500

***

(4)
# GGA-PBE AlSb2IN, relaxed
# spin magnetization: 0.000 μB per formula unit
# formation energy from raw total energies: 809 meV/atom
# space group: P4/mmm (123)
# energy above the most stable polymorph in this dataset: 0.000 eV per atom
data_AlSb2IN
_chemical_formula_sum 'Al1 Sb2 I1 N1'
_cell_length_a 4.8491
_cell_length_b 4.8491
_cell_length_c 4.7970
_cell_angle_alpha 90.00
_cell_angle_beta 90.00
_cell_angle_gamma 90.00
_symmetry_space_group_name_H-M 'P 1'
_symmetry_Int_Tables_number 1
loop_
_symmetry_equiv_pos_as_xyz
'x,y,z'
loop_
_atom_site_label
_atom_site_type_symbol
_atom_site_fract_x
_atom_site_fract_y
_atom_site_fract_z
Al1 Al 0.0000 0.0000 0.0000
Sb1 Sb 0.0000 0.5000 0.5000
Sb2 Sb 0.5000 0.0000 0.5000
I1 I 0.5000 0.5000 0.0000
N1 N 0.5000 0.5000 0.5000